The following is a PBE-GGA calculation of crystalline NdScPt at its relaxed geometry, from Alexandria.

Cell lengths 7.2606, 8.6575, 8.6575 Å; angles 66.30, 65.21, 65.21 degrees
Last column: nearest neighbours and their distance in Å.
Element x y z (fractional)
Nd (0.3444, 0.2500, 0.7500)  5 Pt 2.97-3.23
Nd (0.1622, 0.0455, 0.5455)  5 Pt 2.97-3.23
Nd (0.3443, 0.7500, 0.2500)  5 Pt 2.97-3.23
Nd (0.7531, 0.9545, 0.4545)  5 Pt 2.97-3.23
Nd (0.7532, 0.4545, 0.9545)  5 Pt 2.97-3.23
Nd (0.1621, 0.5455, 0.0455)  5 Pt 2.97-3.23
Pt (0.7529, 0.2499, 0.7499)  3 Nd 2.97, 6 Sc 3.01
Pt (0.0871, 0.6664, 0.6665)  3 Sc 2.74
Pt (0.7528, 0.7501, 0.2501)  3 Nd 2.97, 6 Sc 3.01
Pt (0.0871, 0.1665, 0.1664)  3 Sc 2.74
Pt (0.4200, 0.3336, 0.3335)  3 Sc 2.74
Pt (0.4200, 0.8335, 0.8336)  3 Sc 2.74
Sc (0.4975, 0.1281, 0.1281)  4 Pt 2.74-3.01
Sc (0.4975, 0.6281, 0.6281)  4 Pt 2.74-3.01
Sc (0.7537, 0.8719, 0.8719)  4 Pt 2.74-3.01
Sc (0.0089, 0.5000, 0.5000)  4 Pt 2.74-3.01
Sc (0.7537, 0.3719, 0.3719)  4 Pt 2.74-3.01
Sc (0.0089, 0.0000, 0.0000)  4 Pt 2.74-3.01

Summary:
E_tot	-6.593	eV per atom
density	8.88	g/cm3
symmetry	No. 38
energy relative to the elements	-0.880	eV/atom